Entry from Alexandria: crystalline Li3Ga7 at its relaxed geometry (PBE-GGA).

Computed properties:
E_tot	-2.907	eV/atom
V	18.342	A^3/atom
E above lowest polymorph	0	meV per atom

Cell lengths 7.595, 7.595, 7.595 Å; angles 68.74, 68.74, 68.74 degrees
Fractional positions:
Li 0.878 0.478 0.878
Li 0.478 0.878 0.878
Li 0.522 0.122 0.122
Li 0.878 0.878 0.478
Li 0.122 0.122 0.522
Li 0.122 0.522 0.122
Ga 0.492 0.173 0.492
Ga 0.706 0.182 0.706
Ga 0.294 0.294 0.818
Ga 0.508 0.827 0.508
Ga 0.706 0.706 0.182
Ga 0.827 0.508 0.508
Ga 0.294 0.818 0.294
Ga 0.076 0.076 0.076
Ga 0.508 0.508 0.827
Ga 0.818 0.294 0.294
Ga 0.173 0.492 0.492
Ga 0.182 0.706 0.706
Ga 0.492 0.492 0.173
Ga 0.924 0.924 0.924